[1]
## Hf2ScSbN (GGA-PBE)

Data for a relaxed structure of Hf2ScSbN.

Output
crystal system	tetragonal
DFT total energy	-28.82	eV per formula unit
size of the total moment	0.00	μB/f.u.
energy relative to the elements, uncorrected	1974	meV/atom
space-group type	P4/mmm (123)

a b c (Å): 5.0079 5.0079 5.0907
angles (deg): 90.00 90.00 90.00
Fractional positions:
Hf: 0.0000 0.5000 0.0000
Hf: 0.5000 0.0000 0.0000
Sc: 0.0000 0.0000 0.0000
Sb: 0.0000 0.0000 0.5000
N: 0.5000 0.5000 0.5000

---

[2]
## HfSbSe2N (GGA-PBE)

Data for a relaxed structure of HfSbSe2N.

Output
crystal system	tetragonal
DFT total energy	-30.15	eV per formula unit
size of the total moment	0.00	μB/f.u.
energy relative to the elements, uncorrected	-155	meV/atom
space-group type	P4/mmm (123)

a b c (Å): 5.3348 5.3348 3.9721
angles (deg): 90.00 90.00 90.00
Fractional positions:
Hf: 0.0000 0.0000 0.0000
Sb: 0.5000 0.5000 0.5000
Se: 0.0000 0.5000 0.0000
Se: 0.5000 0.0000 0.0000
N: 0.0000 0.0000 0.5000

---

[3]
## HfSbSeN2 (GGA-PBE)

Data for a relaxed structure of HfSbSeN2.

Output
crystal system	tetragonal
DFT total energy	-33.11	eV per formula unit
size of the total moment	0.00	μB/f.u.
energy relative to the elements, uncorrected	220	meV/atom
space-group type	P4/mmm (123)

a b c (Å): 4.1772 4.1772 5.4056
angles (deg): 90.00 90.00 90.00
Fractional positions:
Hf: 0.0000 0.0000 0.0000
Sb: 0.5000 0.5000 0.5000
Se: 0.0000 0.0000 0.5000
N: 0.0000 0.5000 0.0000
N: 0.5000 0.0000 0.0000

---

[4]
## HfSbSe2N (GGA-PBE)

Data for a relaxed structure of HfSbSe2N.

Output
crystal system	tetragonal
DFT total energy	-25.90	eV per formula unit
size of the total moment	0.52	μB/f.u.
energy relative to the elements, uncorrected	695	meV/atom
space-group type	P4/mmm (123)

a b c (Å): 5.3009 5.3009 3.8899
angles (deg): 90.00 90.00 90.00
Fractional positions:
Hf: 0.0000 0.0000 0.0000
Sb: 0.5000 0.5000 0.5000
Se: 0.0000 0.5000 0.5000
Se: 0.5000 0.0000 0.5000
N: 0.5000 0.5000 0.0000

---

[5]
## HfSbSeN2 (GGA-PBE)

Data for a relaxed structure of HfSbSeN2.

Output
crystal system	tetragonal
DFT total energy	-29.50	eV per formula unit
size of the total moment	0.00	μB/f.u.
energy relative to the elements, uncorrected	941	meV/atom
space-group type	P4/mmm (123)

a b c (Å): 4.0421 4.0421 5.2041
angles (deg): 90.00 90.00 90.00
Fractional positions:
Hf: 0.0000 0.0000 0.0000
Sb: 0.5000 0.5000 0.5000
Se: 0.5000 0.5000 0.0000
N: 0.0000 0.5000 0.5000
N: 0.5000 0.0000 0.5000

---

[6]
## SrHfSbN2 (GGA-PBE)

Data for a relaxed structure of SrHfSbN2.

Output
crystal system	tetragonal
DFT total energy	-32.71	eV per formula unit
size of the total moment	1.73	μB/f.u.
energy relative to the elements, uncorrected	-61	meV/atom
space-group type	P4/mmm (123)

a b c (Å): 4.3791 4.3791 5.6745
angles (deg): 90.00 90.00 90.00
Fractional positions:
Sr: 0.0000 0.0000 0.0000
Hf: 0.5000 0.5000 0.5000
Sb: 0.5000 0.5000 0.0000
N: 0.0000 0.5000 0.5000
N: 0.5000 0.0000 0.5000

---

[7]
## Tb2HfSbN5 (GGA-PBE)

Data for a relaxed structure of Tb2HfSbN5.

Output
crystal system	orthorhombic
DFT total energy	-73.80	eV per formula unit
size of the total moment	0.00	μB/f.u.
energy relative to the elements, uncorrected	-982	meV/atom
space-group type	Cmc2_1 (36)

a b c (Å): 7.0559 7.0559 10.4960
angles (deg): 90.00 90.00 152.67
Fractional positions:
Tb: 0.1133 0.8867 0.5000
Tb: 0.1414 0.8586 0.0839
Tb: 0.8586 0.1414 0.5839
Tb: 0.8867 0.1133 0.0000
Hf: 0.2243 0.7757 0.8101
Hf: 0.7757 0.2243 0.3101
Sb: 0.4762 0.5238 0.2632
Sb: 0.5238 0.4762 0.7632
N: 0.0569 0.9431 0.8650
N: 0.2807 0.7193 0.4519
N: 0.3152 0.6848 0.1771
N: 0.3740 0.6260 0.8042
N: 0.4925 0.5075 0.5767
N: 0.5075 0.4925 0.0767
N: 0.6260 0.3740 0.3042
N: 0.6848 0.3152 0.6771
N: 0.7193 0.2807 0.9519
N: 0.9431 0.0569 0.3650

---

[8]
## HfSbTeN2 (GGA-PBE)

Data for a relaxed structure of HfSbTeN2.

Output
crystal system	tetragonal
DFT total energy	-31.93	eV per formula unit
size of the total moment	0.00	μB/f.u.
energy relative to the elements, uncorrected	388	meV/atom
space-group type	P4/mmm (123)

a b c (Å): 4.2449 4.2449 5.8352
angles (deg): 90.00 90.00 90.00
Fractional positions:
Hf: 0.0000 0.0000 0.0000
Sb: 0.5000 0.5000 0.5000
Te: 0.0000 0.0000 0.5000
N: 0.0000 0.5000 0.0000
N: 0.5000 0.0000 0.0000

---

[9]
## HfSbTeN2 (GGA-PBE)

Data for a relaxed structure of HfSbTeN2.

Output
crystal system	tetragonal
DFT total energy	-27.86	eV per formula unit
size of the total moment	0.00	μB/f.u.
energy relative to the elements, uncorrected	1201	meV/atom
space-group type	P4/mmm (123)

a b c (Å): 4.1201 4.1201 5.7165
angles (deg): 90.00 90.00 90.00
Fractional positions:
Hf: 0.0000 0.0000 0.0000
Sb: 0.5000 0.5000 0.5000
Te: 0.5000 0.5000 0.0000
N: 0.0000 0.5000 0.5000
N: 0.5000 0.0000 0.5000

---

[10]
## HfThSb2N (GGA-PBE)

Data for a relaxed structure of HfThSb2N.

Output
crystal system	tetragonal
DFT total energy	-38.42	eV per formula unit
size of the total moment	0.00	μB/f.u.
energy relative to the elements, uncorrected	-896	meV/atom
space-group type	P4/nmm (129)

a b c (Å): 3.9873 3.9873 15.0821
angles (deg): 90.00 90.00 90.00
Fractional positions:
Hf: 0.2500 0.2500 0.0705
Hf: 0.7500 0.7500 0.9295
Th: 0.2500 0.2500 0.5790
Th: 0.7500 0.7500 0.4210
Sb: 0.2500 0.2500 0.2701
Sb: 0.2500 0.2500 0.8724
Sb: 0.7500 0.7500 0.1276
Sb: 0.7500 0.7500 0.7299
N: 0.2500 0.7500 0.5000
N: 0.7500 0.2500 0.5000

---

[11]
## HfTh2SbN5 (GGA-PBE)

Data for a relaxed structure of HfTh2SbN5.

Output
crystal system	orthorhombic
DFT total energy	-79.14	eV per formula unit
size of the total moment	0.00	μB/f.u.
energy relative to the elements, uncorrected	-956	meV/atom
space-group type	Cmc2_1 (36)

a b c (Å): 7.2036 7.2036 10.9879
angles (deg): 90.00 90.00 152.25
Fractional positions:
Hf: 0.2239 0.7761 0.5000
Hf: 0.7761 0.2239 0.0000
Th: 0.1160 0.8840 0.1957
Th: 0.1409 0.8591 0.7724
Th: 0.8591 0.1409 0.2724
Th: 0.8840 0.1160 0.6957
Sb: 0.4786 0.5214 0.9679
Sb: 0.5214 0.4786 0.4679
N: 0.0625 0.9375 0.5684
N: 0.2784 0.7216 0.1427
N: 0.2989 0.7011 0.8692
N: 0.3718 0.6282 0.5201
N: 0.4917 0.5083 0.2676
N: 0.5083 0.4917 0.7676
N: 0.6282 0.3718 0.0201
N: 0.7011 0.2989 0.3692
N: 0.7216 0.2784 0.6427
N: 0.9375 0.0625 0.0684

---

[12]
## HfTiSb2N (GGA-PBE)

Data for a relaxed structure of HfTiSb2N.

Output
crystal system	tetragonal
DFT total energy	-38.19	eV per formula unit
size of the total moment	0.00	μB/f.u.
energy relative to the elements, uncorrected	-754	meV/atom
space-group type	P4/nmm (129)

a b c (Å): 3.7480 3.7480 14.1400
angles (deg): 90.00 90.00 90.00
Fractional positions:
Hf: 0.2500 0.2500 0.0681
Hf: 0.7500 0.7500 0.9319
Ti: 0.2500 0.2500 0.5730
Ti: 0.7500 0.7500 0.4270
Sb: 0.2500 0.2500 0.3708
Sb: 0.2500 0.2500 0.7802
Sb: 0.7500 0.7500 0.2198
Sb: 0.7500 0.7500 0.6292
N: 0.2500 0.7500 0.0000
N: 0.7500 0.2500 0.0000